No. 1
BaBeI2O: PBEsol geometry, meta-GGA SCAN.

Properties
Uncorrected formation energy: -0.121 eV per atom
Space group: P4/mmm (123)

Unit cell a=4.4042 b=6.6249 c=6.6249 alpha=90.00 beta=90.00 gamma=90.00
With the nearest neighbours (Å) after each atom.
Element x y z (fractional)
O1 0.5000 0.0000 0.0000  2 Ba 2.20
I1 0.0000 0.5000 0.0000  2 Ba 3.31
I2 0.0000 0.0000 0.5000  2 Ba 3.31
Ba1 0.0000 0.0000 0.0000  2 O 2.20
Be1 0.5000 0.5000 0.5000  8 I 3.98, 2 Be 4.40

---

No. 2
Ni2PbAu: PBEsol geometry, meta-GGA SCAN.

Properties
Space group: I-4m2 (119)
Energy of formation: 1.17 eV/f.u.

Unit cell a=3.7996 b=3.7996 c=4.9919 alpha=112.37 beta=112.37 gamma=90.00
With the nearest neighbours (Å) after each atom.
Element x y z (fractional)
Ni1 0.0000 0.0000 0.0000  4 Pb 2.69, 4 Ni 2.83, 4 Au 2.83
Au1 0.2500 0.7500 0.5000  8 Ni 2.69-2.83, 4 Pb 2.83
Ni2 0.7500 0.2500 0.5000  4 Au 2.69, 4 Pb 2.83, 4 Ni 2.83
Pb1 0.5000 0.5000 0.0000  8 Ni 2.69-2.83, 4 Au 2.83

---

No. 3
TaPRhCl2: PBEsol geometry, meta-GGA SCAN.

Properties
Uncorrected formation energy: 0.306 eV per atom
Space group: P4/mmm (123)

Unit cell a=4.6252 b=4.6252 c=4.9342 alpha=90.00 beta=90.00 gamma=90.00
With the nearest neighbours (Å) after each atom.
Element x y z (fractional)
P1 0.0000 0.0000 0.5000  2 Ta 2.47
Ta1 0.0000 0.0000 0.0000  4 Cl 2.31, 2 P 2.47
Cl1 0.5000 0.0000 0.0000  2 Ta 2.31
Cl2 0.0000 0.5000 0.0000  2 Ta 2.31
Rh1 0.5000 0.5000 0.5000  4 P 3.27, 8 Cl 3.38

---

No. 4
TcOsBr2: PBEsol geometry, meta-GGA SCAN.

Properties
Uncorrected formation energy: 0.280 eV per atom
Space group: Pmm2 (25)

Unit cell a=2.9971 b=3.0600 c=8.6420 alpha=90.00 beta=90.00 gamma=90.00
With the nearest neighbours (Å) after each atom.
Element x y z (fractional)
Br1 0.5000 0.0000 0.3041  2 Os 2.54
Os1 0.0000 0.0000 0.5419  2 Br 2.54, 4 Tc 2.59
Br2 0.0000 0.5000 0.9433  2 Tc 2.51
Tc1 0.5000 0.5000 0.7106  2 Br 2.51, 4 Os 2.59

---

No. 5
NiAu2: PBEsol geometry, meta-GGA SCAN.

Properties
Space group: C2/m (12)
Energy of formation: 0.17 eV/f.u.

Unit cell a=2.8342 b=4.8859 c=7.0702 alpha=72.26 beta=78.44 gamma=73.14
With the nearest neighbours (Å) after each atom.
Element x y z (fractional)
Ni1 0.8136 0.2910 0.0817  2 Ni 2.44, 6 Au 2.60-2.66
Au1 0.8356 0.7357 0.5931  2 Ni 2.64, 10 Au 2.83-2.94
Au2 0.1644 0.2643 0.4069  2 Ni 2.64, 10 Au 2.83-2.94
Au3 0.4961 0.7951 0.2127  5 Ni 2.60-2.74, 5 Au 2.83-2.87
Ni2 0.1864 0.7090 0.9183  2 Ni 2.44, 6 Au 2.60-2.66
Au4 0.5039 0.2049 0.7873  5 Ni 2.60-2.74, 5 Au 2.83-2.87

---

No. 6
AgAuN2O: PBEsol geometry, meta-GGA SCAN.

Properties
Uncorrected formation energy: 1.600 eV per atom
Space group: P4/mmm (123)

Unit cell a=3.9413 b=3.9413 c=4.2842 alpha=90.00 beta=90.00 gamma=90.00
With the nearest neighbours (Å) after each atom.
Element x y z (fractional)
O1 0.0000 0.0000 0.5000  2 Au 2.14
Au1 0.0000 0.0000 0.0000  4 N 1.97, 2 O 2.14
Ag1 0.5000 0.5000 0.5000  4 O 2.79, 8 N 2.91
N1 0.5000 0.0000 0.0000  2 Au 1.97
N2 0.0000 0.5000 0.0000  2 Au 1.97

---

No. 7
BeReAu2: PBEsol geometry, meta-GGA SCAN.

Properties
Space group: I4/mmm (139)
Energy of formation: 2.20 eV/f.u.

Unit cell a=3.9309 b=3.9309 c=4.7017 alpha=114.71 beta=114.71 gamma=90.00
With the nearest neighbours (Å) after each atom.
Element x y z (fractional)
Au1 0.7500 0.2500 0.5000  4 Re 2.73, 4 Be 2.73, 4 Au 2.78
Re1 0.0000 0.0000 0.0000  8 Au 2.73, 4 Be 2.78
Be1 0.5000 0.5000 0.0000  8 Au 2.73, 4 Re 2.78
Au2 0.2500 0.7500 0.5000  4 Re 2.73, 4 Be 2.73, 4 Au 2.78

---

No. 8
TaZnNi6: PBEsol geometry, meta-GGA SCAN.

Properties
Space group: Cmmm (65)
Energy of formation: -1.98 eV/f.u.

Unit cell a=6.1834 b=6.1834 c=10.1021 alpha=90.00 beta=90.00 gamma=109.60
With the nearest neighbours (Å) after each atom.
Element x y z (fractional)
Ni1 0.8713 0.6229 0.3740  8 Ni 2.51-2.55, 1 Zn 2.52, 3 Ta 2.52-2.56
Ni2 0.1273 0.3786 0.8758  3 Zn 2.50-2.52, 8 Ni 2.50-2.54, 1 Ta 2.52
Ni3 0.2501 0.7499 0.7515  8 Ni 2.50-2.55, 2 Zn 2.51-2.53, 2 Ta 2.53-2.54
Ni4 0.6229 0.8713 0.3740  8 Ni 2.51-2.55, 1 Zn 2.52, 3 Ta 2.52-2.56
Ta1 0.7545 0.2455 0.5000  12 Ni 2.48-2.57
Ni5 0.8713 0.6229 0.6260  8 Ni 2.51-2.55, 1 Zn 2.52, 3 Ta 2.52-2.56
Ta2 0.2455 0.7545 0.5000  12 Ni 2.48-2.57
Ni6 0.5000 0.5000 0.5000  8 Ni 2.51, 2 Zn 2.56, 2 Ta 2.57
Zn1 0.2463 0.7537 0.0000  12 Ni 2.49-2.56
Ni7 0.0000 0.0000 0.0000  2 Ta 2.47, 2 Zn 2.49, 8 Ni 2.54
Ni8 0.0000 0.0000 0.5000  4 Ta 2.48-2.58, 8 Ni 2.54
Ni9 0.1273 0.3786 0.1242  3 Zn 2.50-2.52, 8 Ni 2.50-2.54, 1 Ta 2.52
Ni10 0.6214 0.8727 0.1242  3 Zn 2.50-2.52, 8 Ni 2.50-2.54, 1 Ta 2.52
Ni11 0.1287 0.3771 0.3740  8 Ni 2.51-2.55, 1 Zn 2.52, 3 Ta 2.52-2.56
Ni12 0.7499 0.2501 0.2485  8 Ni 2.50-2.55, 2 Zn 2.51-2.53, 2 Ta 2.53-2.54
Ni13 0.8727 0.6214 0.1242  3 Zn 2.50-2.52, 8 Ni 2.50-2.54, 1 Ta 2.52
Ni14 0.2501 0.7499 0.2485  8 Ni 2.50-2.55, 2 Zn 2.51-2.53, 2 Ta 2.53-2.54
Ta3 0.0000 0.0000 0.2444  12 Ni 2.47-2.58
Ni15 0.1287 0.3771 0.6260  8 Ni 2.51-2.55, 1 Zn 2.52, 3 Ta 2.52-2.56
Ni16 0.5000 0.5000 0.0000  4 Zn 2.49-2.56, 8 Ni 2.51
Ni17 0.6229 0.8713 0.6260  8 Ni 2.51-2.55, 1 Zn 2.52, 3 Ta 2.52-2.56
Ni18 0.3771 0.1287 0.3740  8 Ni 2.51-2.55, 1 Zn 2.52, 3 Ta 2.52-2.56
Ni19 0.7499 0.2501 0.7515  8 Ni 2.50-2.55, 2 Zn 2.51-2.53, 2 Ta 2.53-2.54
Ni20 0.8727 0.6214 0.8758  3 Zn 2.50-2.52, 8 Ni 2.50-2.54, 1 Ta 2.52
Ni21 0.6214 0.8727 0.8758  3 Zn 2.50-2.52, 8 Ni 2.50-2.54, 1 Ta 2.52
Zn2 0.5000 0.5000 0.2461  12 Ni 2.49-2.56
Ta4 0.0000 0.0000 0.7556  12 Ni 2.47-2.58
Ni22 0.3786 0.1273 0.1242  3 Zn 2.50-2.52, 8 Ni 2.50-2.54, 1 Ta 2.52
Zn3 0.5000 0.5000 0.7539  12 Ni 2.49-2.56
Ni23 0.3771 0.1287 0.6260  8 Ni 2.51-2.55, 1 Zn 2.52, 3 Ta 2.52-2.56
Zn4 0.7537 0.2463 0.0000  12 Ni 2.49-2.56
Ni24 0.3786 0.1273 0.8758  3 Zn 2.50-2.52, 8 Ni 2.50-2.54, 1 Ta 2.52

---

No. 9
Sc2BeTl: PBEsol geometry, meta-GGA SCAN.

Properties
Space group: Cm (8)
Energy of formation: -0.59 eV/f.u.

Unit cell a=3.3799 b=4.6372 c=5.6693 alpha=114.07 beta=107.34 gamma=90.00
With the nearest neighbours (Å) after each atom.
Element x y z (fractional)
Tl1 0.5372 0.5369 0.0744  2 Be 2.54
Sc1 0.9783 0.9782 0.9566  4 Tl 2.93, 2 Be 2.95, 4 Sc 3.17-3.20
Be1 0.2316 0.7322 0.4632  2 Tl 2.54
Sc2 0.7529 0.2527 0.5058  4 Be 2.87-2.88, 2 Tl 3.13-3.14, 4 Sc 3.17-3.20

---

No. 10
Ca5Cu6O12: PBEsol geometry, meta-GGA SCAN.

Properties
Uncorrected formation energy: -1.879 eV per atom
Space group: P2/c (13)

Unit cell a=5.3832 b=6.3458 c=16.2957 alpha=90.00 beta=94.11 gamma=90.00
With the nearest neighbours (Å) after each atom.
Element x y z (fractional)
O1 0.3695 0.0403 0.6064  2 Cu 1.87-1.93
O2 0.5460 0.4982 0.3135  2 Cu 1.84-1.90
Ca1 0.9464 0.7515 0.4520  6 O 2.30-2.38
O3 0.4717 0.0326 0.2326  2 Cu 1.88
O4 0.9000 0.4490 0.6509  2 Cu 1.87-1.96
O5 0.6000 0.4490 0.8491  2 Cu 1.87-1.96
Cu1 0.0000 0.0000 0.0000  4 O 1.93-1.98
O6 0.8170 0.9413 0.5647  2 Cu 1.89-1.98
O7 0.1000 0.5510 0.3491  2 Cu 1.87-1.96
O8 0.7249 0.4413 0.4775  2 Cu 1.92-1.94
Ca2 0.5536 0.7515 0.0480  6 O 2.30-2.38
O9 0.8695 0.9597 0.1064  2 Cu 1.87-1.93
O10 0.1830 0.0587 0.4353  2 Cu 1.89-1.98
O11 0.1305 0.0403 0.8936  2 Cu 1.87-1.93
O12 0.0283 0.0326 0.2674  2 Cu 1.88
O13 0.3170 0.0587 0.0647  2 Cu 1.89-1.98
Ca3 0.3434 0.7434 0.8548  6 O 2.28-2.51
Cu2 0.2500 0.5183 0.2500  4 O 1.84-1.87
Cu3 0.8278 0.9819 0.8342  4 O 1.87-1.89
O14 0.4540 0.5018 0.6865  2 Cu 1.84-1.90
O15 0.0460 0.5018 0.8135  2 Cu 1.84-1.90
Ca4 0.7500 0.7599 0.2500  4 O 2.28-2.29
Cu4 0.3278 0.0181 0.3342  4 O 1.87-1.89
Ca5 0.1566 0.7434 0.6452  6 O 2.28-2.51
Cu5 0.5888 0.4863 0.5820  4 O 1.90-1.96
O16 0.2249 0.5587 0.9775  2 Cu 1.92-1.94
Ca6 0.2500 0.2401 0.7500  4 O 2.28-2.29
Cu6 0.7500 0.4817 0.7500  4 O 1.84-1.87
Ca7 0.0536 0.2485 0.5480  6 O 2.30-2.38
Ca8 0.8434 0.2566 0.3548  6 O 2.28-2.51
O17 0.5283 0.9674 0.7674  2 Cu 1.88
Cu7 0.9112 0.4863 0.9180  4 O 1.90-1.96
O18 0.2751 0.5587 0.5225  2 Cu 1.92-1.94
Cu8 0.4112 0.5137 0.4180  4 O 1.90-1.96
O19 0.7751 0.4413 0.0225  2 Cu 1.92-1.94
O20 0.9717 0.9674 0.7326  2 Cu 1.88
Ca9 0.4464 0.2485 0.9520  6 O 2.30-2.38
O21 0.9540 0.4982 0.1865  2 Cu 1.84-1.90
Cu9 0.1722 0.0181 0.1658  4 O 1.87-1.89
O22 0.6830 0.9413 0.9353  2 Cu 1.89-1.98
Cu10 0.6722 0.9819 0.6658  4 O 1.87-1.89
Cu11 0.5000 0.0000 0.5000  4 O 1.93-1.98
O23 0.4000 0.5510 0.1509  2 Cu 1.87-1.96
Cu12 0.0888 0.5137 0.0820  4 O 1.90-1.96
O24 0.6305 0.9597 0.3936  2 Cu 1.87-1.93
Ca10 0.6566 0.2566 0.1452  6 O 2.28-2.51

---

No. 11
TlTc2As: PBEsol geometry, meta-GGA SCAN.

Properties
Space group: F-43m (216)
Energy of formation: 2.97 eV/f.u.

Unit cell a=4.5396 b=4.5396 c=4.5396 alpha=60.00 beta=60.00 gamma=60.00
With the nearest neighbours (Å) after each atom.
Element x y z (fractional)
Tl1 0.2500 0.2500 0.2500  4 As 2.78, 4 Tc 2.78
Tc1 0.7500 0.7500 0.7500  4 Tc 2.78, 4 As 2.78
Tc2 0.0000 0.0000 0.0000  4 Tl 2.78, 4 Tc 2.78
As1 0.5000 0.5000 0.5000  4 Tl 2.78, 4 Tc 2.78

---

No. 12
TiAl2Zn: PBEsol geometry, meta-GGA SCAN.

Properties
Space group: P4/mmm (123)
Energy of formation: -1.77 eV/f.u.

Unit cell a=3.9313 b=3.9313 c=3.8462 alpha=90.00 beta=90.00 gamma=90.00
With the nearest neighbours (Å) after each atom.
Element x y z (fractional)
Ti1 0.0000 0.0000 0.0000  8 Al 2.75, 4 Zn 2.78
Al1 0.0000 0.5000 0.5000  4 Zn 2.75, 4 Ti 2.75, 4 Al 2.78
Zn1 0.5000 0.5000 0.0000  8 Al 2.75, 4 Ti 2.78
Al2 0.5000 0.0000 0.5000  4 Zn 2.75, 4 Ti 2.75, 4 Al 2.78

---

Number 1: magnetic moment 1.056 μB per cell. Number 2: magnetic moment 0.000 μB per cell. Number 3: magnetic moment 1.867 μB per cell. Number 4: magnetic moment 0.000 μB per cell. Number 5: magnetic moment 1.348 μB per cell. Number 6: magnetic moment 3.339 μB per cell. Number 7: magnetic moment 0.003 μB per cell. Number 8: magnetic moment 2.817 μB per cell. Number 9: magnetic moment 0.000 μB per cell. Number 10: magnetic moment 8.001 μB per cell. Number 11: magnetic moment 0.000 μB per cell. Number 12: magnetic moment 0.000 μB per cell.